Material: LiBiPb4
Method: DFT, PBE
State: optimized geometry

abc: 8.171 8.171 6.004
angles: 100.13 100.13 112.02
Positions (direct):
Li (0.005, 0.995, 0.750)
Li (0.995, 0.005, 0.250)
Bi (0.385, 0.615, 0.750)
Bi (0.615, 0.385, 0.250)
Pb (0.072, 0.713, 0.439)
Pb (0.197, 0.389, 0.147)
Pb (0.287, 0.928, 0.061)
Pb (0.389, 0.197, 0.647)
Pb (0.611, 0.803, 0.353)
Pb (0.713, 0.072, 0.939)
Pb (0.803, 0.611, 0.853)
Pb (0.928, 0.287, 0.561)

space-group type	C2/c (15)
energy of formation from the pure elements	-0.019	eV/atom
total DFT energy (no corrections)	-3.46	eV per atom
excess energy over the best structure of this formula in the dataset	33	meV per atom

***

Material: Th6Hg3Os2C
Method: DFT, PBE
State: optimized geometry

abc: 6.979 6.979 8.255
angles: 98.14 98.14 120.19
Positions (direct):
Th (0.064, 0.380, 0.192)
Th (0.253, 0.253, 0.810)
Th (0.380, 0.064, 0.192)
Th (0.620, 0.936, 0.808)
Th (0.747, 0.747, 0.190)
Th (0.936, 0.620, 0.808)
Hg (0.167, 0.833, 0.500)
Hg (0.500, 0.500, 0.500)
Hg (0.833, 0.167, 0.500)
Os (0.333, 0.667, 0.000)
Os (0.667, 0.333, 0.000)
C (0.000, 0.000, 0.000)

space-group type	C2/m (12)
energy of formation from the pure elements	-0.279	eV/atom
total DFT energy (no corrections)	-6.71	eV per atom

***

Material: Pr6In2O
Method: DFT, PBE
State: optimized geometry

abc: 7.194 7.194 7.194
angles: 60.00 60.00 60.00
Positions (direct):
Pr (0.247, 0.247, 0.753)
Pr (0.247, 0.753, 0.247)
Pr (0.247, 0.753, 0.753)
Pr (0.753, 0.247, 0.247)
Pr (0.753, 0.247, 0.753)
Pr (0.753, 0.753, 0.247)
In (0.250, 0.250, 0.250)
In (0.750, 0.750, 0.750)
O (0.000, 0.000, 0.000)

space-group type	Fm-3m (225)
total DFT energy (no corrections)	-5.16	eV per atom
E_form (uncorrected)	-0.81	eV/atom

***

Material: CuBr2Cl
Method: DFT, PBE
State: optimized geometry

abc: 6.829 6.829 6.829
angles: 118.36 118.36 92.86
Positions (direct):
Cu (0.000, 0.000, 0.000)
Cu (0.750, 0.250, 0.500)
Br (0.040, 0.625, 0.915)
Br (0.375, 0.290, 0.415)
Br (0.710, 0.125, 0.085)
Br (0.875, 0.960, 0.585)
Cl (0.250, 0.750, 0.500)
Cl (0.500, 0.500, 0.000)

space-group type	I-42d (122)
total DFT energy (no corrections)	-2.25	eV per atom
excess energy over the best structure of this formula in the dataset	306	meV per atom
E_form (uncorrected)	0.07	eV/atom

***

Material: Pm3BiRh8
Method: DFT, PBE
State: optimized geometry

abc: 9.344 9.344 9.344
angles: 33.55 33.55 33.55
Positions (direct):
Pm (0.000, 0.000, 0.000)
Pm (0.127, 0.127, 0.127)
Pm (0.506, 0.506, 0.506)
Bi (0.630, 0.630, 0.630)
Rh (0.065, 0.565, 0.565)
Rh (0.066, 0.066, 0.564)
Rh (0.066, 0.564, 0.066)
Rh (0.315, 0.315, 0.315)
Rh (0.564, 0.066, 0.066)
Rh (0.565, 0.065, 0.565)
Rh (0.565, 0.565, 0.065)
Rh (0.815, 0.815, 0.815)

space-group type	R3m (160)
energy of formation from the pure elements	-0.530	eV/atom
total DFT energy (no corrections)	-6.94	eV per atom

***

Material: CdAs2P2
Method: DFT, PBE
State: optimized geometry

abc: 4.521 4.569 6.203
angles: 69.45 71.59 86.80
Positions (direct):
Cd (0.000, 0.000, 0.000)
As (0.375, 0.539, 0.773)
As (0.625, 0.461, 0.227)
P (0.183, 0.691, 0.430)
P (0.817, 0.309, 0.570)

space-group type	P-1 (2)
energy of formation from the pure elements	0.076	eV/atom
total DFT energy (no corrections)	-4.13	eV per atom
excess energy over the best structure of this formula in the dataset	0	meV per atom

***

Please write out number 2 again, unchanged.
Material: Th6Hg3Os2C
Method: DFT, PBE
State: optimized geometry

abc: 6.979 6.979 8.255
angles: 98.14 98.14 120.19
Positions (direct):
Th (0.064, 0.380, 0.192)
Th (0.253, 0.253, 0.810)
Th (0.380, 0.064, 0.192)
Th (0.620, 0.936, 0.808)
Th (0.747, 0.747, 0.190)
Th (0.936, 0.620, 0.808)
Hg (0.167, 0.833, 0.500)
Hg (0.500, 0.500, 0.500)
Hg (0.833, 0.167, 0.500)
Os (0.333, 0.667, 0.000)
Os (0.667, 0.333, 0.000)
C (0.000, 0.000, 0.000)

space-group type	C2/m (12)
energy of formation from the pure elements	-0.279	eV/atom
total DFT energy (no corrections)	-6.71	eV per atom

***

What is the total DFT energy (no corrections) in the third record? -5.16 eV per atom

***

What is the formula in the fourth record? CuBr2Cl

***

Which formula does entry 2 have? Th6Hg3Os2C